Density functional theory data (PBE) for an optimized crystal structure of AcPaSi.

a b c (Å): 9.3299 9.3299 3.5633
angles (deg): 90.00 90.00 148.17
Closest atoms and distances in Å follow each position.
Fractional positions:
1 Ac 0.0879 0.9121 0.7500  6 Si 3.21-3.50, 2 Pa 3.54, 2 Ac 3.56
2 Ac 0.9121 0.0879 0.2500  6 Si 3.21-3.50, 2 Pa 3.54, 2 Ac 3.56
3 Pa 0.2754 0.7246 0.2500  6 Pa 3.25-3.56, 2 Ac 3.54
4 Pa 0.7246 0.2754 0.7500  6 Pa 3.25-3.56, 2 Ac 3.54
5 Si 0.4547 0.5453 0.7500  2 Si 2.41
6 Si 0.5453 0.4547 0.2500  2 Si 2.41


Density functional theory data (PBE) for an optimized crystal structure of AcPaSi2Tc.

a b c (Å): 6.9169 6.9169 6.9169
angles (deg): 144.40 144.40 51.23
Closest atoms and distances in Å follow each position.
Fractional positions:
1 Ac 0.0000 0.0000 0.0000  8 Si 3.24
2 Pa 0.7500 0.2500 0.5000  4 Si 2.82, 4 Tc 2.99
3 Si 0.3998 0.3998 0.0000  1 Si 2.50
4 Si 0.6002 0.6002 0.0000  1 Si 2.50
5 Tc 0.2500 0.7500 0.5000  4 Si 2.82, 4 Pa 2.99


Density functional theory data (PBE) for an optimized crystal structure of AcPaZnSi.

a b c (Å): 5.2041 5.2041 5.2041
angles (deg): 60.00 60.00 60.00
Closest atoms and distances in Å follow each position.
Fractional positions:
1 Ac 0.0000 0.0000 0.0000  4 Zn 3.19, 4 Si 3.19
2 Pa 0.5000 0.5000 0.5000  4 Si 3.19, 4 Zn 3.19
3 Zn 0.7500 0.7500 0.7500  4 Pa 3.19, 4 Ac 3.19
4 Si 0.2500 0.2500 0.2500  4 Ac 3.19, 4 Pa 3.19


Computed magnetic moment, in the same sequence as the records: 0.0 0.0 1.3 μB per formula unit.
Computed formation energy (no corrections), in the same sequence as the records: 0.055 -0.407 -0.013 eV per atom.